Record 1
Below is an optimized crystal structure of LaTh6N8, with properties calculated at the GGA-PBE level.

Unit cell a=10.319 b=10.319 c=10.319 alpha=90.00 beta=90.00 gamma=90.00
Space group Fm-3m (No. 225)
Unique sites:
La  0.000  0.000  0.000 (multiplicity 4)
Th  0.000  0.250  0.250 (multiplicity 24)
N  0.000  0.000  0.240 (multiplicity 24)
N  0.250  0.250  0.250 (multiplicity 8)

Output
DFT total energy in eV per atom: -9.0731
Offset from the most stable computed form in eV per atom: 0.000
Raw formation energy in kcal/mol of atoms: -30.8



Record 2
Below is an optimized crystal structure of LaTh6N8, with properties calculated at the GGA-PBE level.

Unit cell a=7.3974 b=7.3974 c=16.2445 alpha=90.00 beta=90.00 gamma=120.00
Space group R-3 (No. 148, hexagonal axes)
Unique sites:
La  0.0000  0.0000  0.0000 (multiplicity 3)
Th  0.0153  0.4011  0.9128 (multiplicity 18)
N  0.0000  0.0000  0.3144 (multiplicity 6)
N  0.0120  0.2802  0.1001 (multiplicity 18)

Output
DFT total energy in eV per atom: -9.0327
Offset from the most stable computed form in eV per atom: 0.040
Raw formation energy in kcal/mol of atoms: -29.9